No. 1
VASP calculation (PBE) on YTl2Ir after structural relaxation.

Computed properties:
Theoretical density (g cm⁻³): 10.93
Energy of formation (eV per atom): 0.02
V (Å³/cell): 210

a b c (Å): 8.7044 8.7044 6.7485
angles (deg): 49.84 49.84 90.00
Element x y z (fractional)
Tl: 0.8750 0.9475 0.7500
Tl: 0.3750 0.3025 0.7500
Tl: 0.6975 0.1250 0.2500
Tl: 0.0525 0.6250 0.2500
Y: 0.5000 0.5000 0.0000
Y: 0.2500 0.7500 0.5000
Ir: 0.0000 0.0000 0.0000
Ir: 0.7500 0.2500 0.5000


No. 2
VASP calculation (PBE) on YTlIr after structural relaxation.

Computed properties:
Theoretical density (g cm⁻³): 12.36
Energy of formation (eV per atom): -0.28
V (Å³/cell): 65

a b c (Å): 5.5615 5.5615 5.5615
angles (deg): 144.25 139.16 55.38
Element x y z (fractional)
Tl: 0.3448 0.3448 0.0000
Y: 0.6516 0.6516 0.0000
Ir: 0.0036 0.0036 0.0000


No. 3
VASP calculation (PBE) on YTlIr after structural relaxation.

Computed properties:
Theoretical density (g cm⁻³): 10.48
Energy of formation (eV per atom): -0.16
V (Å³/cell): 77

a b c (Å): 4.2010 4.2010 5.0353
angles (deg): 90.00 90.00 120.00
Element x y z (fractional)
Tl: 0.6667 0.3333 0.2650
Y: 0.3333 0.6667 0.7251
Ir: 0.0000 0.0000 0.0099


No. 4
VASP calculation (PBE) on YTl2Ir after structural relaxation.

Computed properties:
Theoretical density (g cm⁻³): 10.35
Energy of formation (eV per atom): -0.04
V (Å³/cell): 111

a b c (Å): 7.2092 7.2092 7.2092
angles (deg): 35.11 35.11 35.11
Element x y z (fractional)
Y: 0.4751 0.4751 0.4751
Tl: 0.0211 0.0211 0.0211
Tl: 0.2584 0.2584 0.2584
Ir: 0.7454 0.7454 0.7454


No. 5
VASP calculation (PBE) on Y6Tl3Ir after structural relaxation.

Computed properties:
Theoretical density (g cm⁻³): 8.01
Energy of formation (eV per atom): -0.41
V (Å³/cell): 555

a b c (Å): 5.2251 9.0252 11.7760
angles (deg): 90.00 89.98 90.00
Element x y z (fractional)
Y: 0.0004 0.6549 0.5821
Y: 0.9996 0.3451 0.4179
Y: 0.5004 0.8451 0.0821
Y: 0.5003 0.8092 0.4166
Y: 0.5002 0.5129 0.7364
Y: 0.0003 0.6908 0.9166
Y: 0.9998 0.0129 0.7636
Y: 0.4997 0.1908 0.5834
Y: 0.4996 0.1549 0.9179
Y: 0.4998 0.4871 0.2636
Y: 0.9997 0.3092 0.0834
Y: 0.0002 0.9871 0.2364
Tl: 0.0000 0.6531 0.2347
Tl: 0.5000 0.1531 0.2653
Tl: 0.5000 0.5000 0.0000
Tl: 0.5000 0.8469 0.7347
Tl: 0.0000 0.3469 0.7653
Tl: 0.0000 0.0000 0.5000
Ir: 0.0000 0.0000 0.0000
Ir: 0.5000 0.5000 0.5000


No. 6
VASP calculation (PBE) on Y4TlIr after structural relaxation.

Computed properties:
Energy relative to the lowest polymorph listed for this composition (eV/f.u.): 0.00
Theoretical density (g cm⁻³): 7.71
Energy of formation (eV per atom): -0.54
V (Å³/cell): 648

a b c (Å): 9.7144 9.7143 9.7143
angles (deg): 60.00 60.00 60.00
Element x y z (fractional)
Y: 0.9413 0.5587 0.5587
Y: 0.4006 0.7983 0.4006
Y: 0.5587 0.9413 0.9413
Y: 0.4006 0.4006 0.7983
Y: 0.1910 0.8090 0.8090
Y: 0.5587 0.9413 0.5587
Y: 0.8090 0.8090 0.1910
Y: 0.1910 0.1910 0.8090
Y: 0.8090 0.1910 0.8090
Y: 0.9413 0.9413 0.5587
Y: 0.9413 0.5587 0.9413
Y: 0.7983 0.4006 0.4006
Y: 0.1910 0.8090 0.1910
Y: 0.5587 0.5587 0.9413
Y: 0.4006 0.4006 0.4006
Y: 0.8090 0.1910 0.1910
Tl: 0.1639 0.5083 0.1639
Tl: 0.5083 0.1639 0.1639
Tl: 0.1639 0.1639 0.5083
Tl: 0.1639 0.1639 0.1639
Ir: 0.1735 0.6088 0.6088
Ir: 0.6088 0.6088 0.1735
Ir: 0.6088 0.6088 0.6088
Ir: 0.6088 0.1735 0.6088


No. 7
VASP calculation (PBE) on YTlIr after structural relaxation.

Computed properties:
Theoretical density (g cm⁻³): 12.25
Energy of formation (eV per atom): -0.28
V (Å³/cell): 66

a b c (Å): 4.7684 4.7684 3.3418
angles (deg): 90.00 90.00 120.00
Element x y z (fractional)
Ir: 0.0000 0.0000 0.1666
Y: 0.3333 0.6667 0.6665
Tl: 0.6667 0.3333 0.1669


No. 8
VASP calculation (PBE) on TlZnIr after structural relaxation.

Computed properties:
Energy relative to the lowest polymorph listed for this composition (eV/f.u.): 0.00
Theoretical density (g cm⁻³): 14.10
Energy of formation (eV per atom): 0.22
V (Å³/cell): 54

a b c (Å): 5.3628 5.3628 5.3628
angles (deg): 146.37 140.14 53.11
Element x y z (fractional)
Tl: 0.3364 0.3364 0.0000
Zn: 0.6332 0.6332 0.0000
Ir: 0.0304 0.0304 0.0000


Among the records above, which one has the highest theoretical density?
TlZnIr